Computed, not measured: a relaxed NaNd2RuO5 crystal at the GGA-PBE level of DFT.

Summary:
ρ = 6.0 g/cm3
uncorrected formation energy = -20.2 eV per formula unit

The structure in CIF format:
```
data_NaNd2RuO5
_space_group_name_H-M_alt 'P 4/m b m'
_space_group_IT_number 127
_space_group_name_Hall '-P 4 2ab'
_cell_length_a 6.845
_cell_length_b 6.845
_cell_length_c 5.806
_cell_angle_alpha 90.00
_cell_angle_beta 90.00
_cell_angle_gamma 90.00
loop_
_atom_site_label
_atom_site_type_symbol
_atom_site_fract_x
_atom_site_fract_y
_atom_site_fract_z
Na1 Na 0.000 0.000 0.000
Nd1 Nd 0.177 0.323 0.500
Ru1 Ru 0.000 0.500 0.000
O1 O 0.000 0.000 0.500
O2 O 0.135 0.635 0.248
```

Computed, not measured: a relaxed Na3NdS4O12 crystal at the GGA-PBE level of DFT.

Summary:
ρ = 3.1 g/cm3
N(E_F) = 5.99 states/eV/f.u.
uncorrected formation energy = -25.7 eV per formula unit

The structure in CIF format:
```
data_Na3NdS4O12
_space_group_name_H-M_alt 'R 3 2'
_space_group_IT_number 155
_space_group_name_Hall 'R 3 2"'
_cell_length_a 10.9571
_cell_length_b 10.9571
_cell_length_c 8.1640
_cell_angle_alpha 90.00
_cell_angle_beta 90.00
_cell_angle_gamma 120.00
loop_
_atom_site_label
_atom_site_type_symbol
_atom_site_fract_x
_atom_site_fract_y
_atom_site_fract_z
Na1 Na 0.0000 0.5658 0.0000
Nd1 Nd 0.0000 0.0000 0.0000
S1 S 0.0000 0.0000 0.5000
S2 S 0.0000 0.4138 0.5000
O1 O 0.0000 0.5522 0.5000
O2 O 0.0000 0.8691 0.5000
O3 O 0.0239 0.1829 0.1854
```

Computed, not measured: a relaxed Na2Nd4Sb3O2 crystal at the GGA-PBE level of DFT.

Summary:
ρ = 5.5 g/cm3
N(E_F) = 1.89 states/eV/f.u.
uncorrected formation energy = -16.6 eV per formula unit

The structure in CIF format:
```
data_Na2Nd4Sb3O2
_space_group_name_H-M_alt 'I 4/m m m'
_space_group_IT_number 139
_space_group_name_Hall '-I 4 2'
_cell_length_a 4.900
_cell_length_b 4.900
_cell_length_c 25.460
_cell_angle_alpha 90.00
_cell_angle_beta 90.00
_cell_angle_gamma 90.00
loop_
_atom_site_label
_atom_site_type_symbol
_atom_site_fract_x
_atom_site_fract_y
_atom_site_fract_z
Na1 Na 0.000 0.000 0.202
Nd1 Nd 0.000 0.500 0.089
Sb1 Sb 0.000 0.000 0.328
Sb2 Sb 0.000 0.000 0.500
O1 O 0.000 0.000 0.092
```

Quick rundown of E, same order as above: -7.237, -5.522, -5.504 eV per atom